1.
{
  "formula": "ZrInGeOs2",
  "functional": "PBE-GGA",
  "state": "optimized geometry",
  "lattice": [[-2.915, 2.316, -2.682], [-3.428, -3.426, 0.767], [-1.511, 2.329, 3.654]],
  "species": ["Os", "Os", "Zr", "In", "Ge"],
  "fractional_positions": [[0.500, 0.000, 0.000], [0.000, 0.000, 0.500], [0.000, 0.500, 0.000], [0.500, 0.500, 0.500], [0.000, 0.000, 0.000]],
  "m_tot_mub_per_fu": 0.6,
  "ef_ev_per_atom": 0.951,
  "spacegroup": "P4/mmm, No. 123",
  "final_energy_ev_per_atom": -6.72
}

=====

2.
{
  "formula": "La3YCd",
  "functional": "PBE-GGA",
  "state": "optimized geometry",
  "lattice": [[-2.238, -3.097, -0.676], [11.175, 1.909, -1.176], [1.659, -3.428, 10.208]],
  "species": ["Cd", "Cd", "La", "La", "La", "La", "La", "La", "Y", "Y"],
  "fractional_positions": [[0.784, 0.767, 0.250], [0.216, 0.233, 0.750], [0.757, 0.254, 0.499], [0.243, 0.746, 0.999], [0.644, 0.447, 0.250], [0.757, 0.254, 0.001], [0.243, 0.746, 0.501], [0.356, 0.553, 0.750], [0.861, 0.056, 0.250], [0.139, 0.944, 0.750]],
  "m_tot_mub_per_fu": 0.0,
  "ef_ev_per_atom": -0.012,
  "spacegroup": "Pmmn, No. 59",
  "final_energy_ev_per_atom": -4.44
}

=====

3.
{
  "formula": "LaEr4Au5",
  "functional": "PBE-GGA",
  "state": "optimized geometry",
  "lattice": [[3.575, 0.000, 0.000], [0.000, 3.575, 0.000], [0.000, 0.000, 18.375]],
  "species": ["Au", "Au", "Au", "Au", "Au", "Er", "Er", "Er", "Er", "La"],
  "fractional_positions": [[0.500, 0.500, 0.884], [0.500, 0.500, 0.500], [0.500, 0.500, 0.116], [0.500, 0.500, 0.305], [0.500, 0.500, 0.695], [0.000, 0.000, 0.793], [0.000, 0.000, 0.402], [0.000, 0.000, 0.207], [0.000, 0.000, 0.598], [0.000, 0.000, 0.000]],
  "m_tot_mub_per_fu": 0.0,
  "ef_ev_per_atom": -0.863,
  "spacegroup": "P4/mmm, No. 123",
  "final_energy_ev_per_atom": -4.82
}

=====

4.
{
  "formula": "Dy3ScAu4",
  "functional": "PBE-GGA",
  "state": "optimized geometry",
  "lattice": [[-2.060, -1.677, 2.331], [-1.930, -2.800, -3.720], [7.220, -6.879, 1.432]],
  "species": ["Au", "Au", "Au", "Au", "Dy", "Dy", "Dy", "Sc"],
  "fractional_positions": [[0.000, 0.500, 0.765], [0.000, 0.000, 0.000], [0.000, 0.000, 0.500], [0.000, 0.500, 0.235], [0.500, 0.000, 0.754], [0.500, 0.000, 0.246], [0.500, 0.500, 0.500], [0.500, 0.500, 0.000]],
  "m_tot_mub_per_fu": 0.0,
  "ef_ev_per_atom": -0.835,
  "spacegroup": "Pmmm, No. 47",
  "final_energy_ev_per_atom": -4.99
}

=====

5.
{
  "formula": "NdYCdAu",
  "functional": "PBE-GGA",
  "state": "optimized geometry",
  "lattice": [[5.276, 0.000, 0.000], [2.638, 4.569, 0.000], [2.638, 1.523, 4.308]],
  "species": ["Nd", "Au", "Y", "Cd"],
  "fractional_positions": [[0.250, 0.250, 0.250], [0.500, 0.500, 0.500], [0.750, 0.750, 0.750], [0.000, 0.000, 0.000]],
  "m_tot_mub_per_fu": 0.0,
  "ef_ev_per_atom": -0.537,
  "spacegroup": "F-43m, No. 216",
  "final_energy_ev_per_atom": -4.39
}

=====

6.
{
  "formula": "TaAlRe2",
  "functional": "PBE-GGA",
  "state": "optimized geometry",
  "lattice": [[-1.206, 0.735, 2.903], [-4.142, -0.061, -1.706], [-0.320, -4.185, 0.927]],
  "species": ["Al", "Ta", "Re", "Re"],
  "fractional_positions": [[0.000, 0.500, 0.500], [0.500, 0.000, 0.500], [0.500, 0.500, 0.000], [0.000, 0.000, 0.000]],
  "m_tot_mub_per_fu": 0.0,
  "ef_ev_per_atom": -0.018,
  "spacegroup": "Pmmm, No. 47",
  "final_energy_ev_per_atom": -10.14
}

=====

7.
{
  "formula": "LiBe",
  "functional": "PBE-GGA",
  "state": "optimized geometry",
  "lattice": [[-1.129, -4.482, 3.042], [5.414, -0.829, 0.788], [-0.183, 3.137, 4.555]],
  "species": ["Be", "Be", "Be", "Be", "Li", "Li", "Li", "Li"],
  "fractional_positions": [[0.500, 0.000, 0.500], [0.000, 0.000, 0.000], [0.000, 0.500, 0.500], [0.500, 0.500, 0.000], [0.750, 0.250, 0.750], [0.250, 0.750, 0.750], [0.250, 0.250, 0.250], [0.750, 0.750, 0.250]],
  "m_tot_mub_per_fu": 0.0,
  "ef_ev_per_atom": 1.389,
  "spacegroup": "F-43m, No. 216",
  "final_energy_ev_per_atom": -1.43
}

=====

8.
{
  "formula": "Mg2PaGe",
  "functional": "PBE-GGA",
  "state": "optimized geometry",
  "lattice": [[-2.797, 1.269, -0.445], [-2.298, -0.568, 2.007], [1.276, 8.839, 6.362]],
  "species": ["Mg", "Mg", "Ge", "Pa"],
  "fractional_positions": [[0.098, 0.098, 0.707], [0.902, 0.902, 0.293], [0.500, 0.500, 0.500], [0.000, 0.000, 0.000]],
  "m_tot_mub_per_fu": 0.7,
  "ef_ev_per_atom": 0.218,
  "spacegroup": "R-3m, No. 166",
  "final_energy_ev_per_atom": -4.11
}